Entry 1:
The following is a PBE calculation of an optimized crystal structure of NaAgMo, from Alexandria via LeMat-Bulk.

a = 7.9283 Å, b = 3.0038 Å, c = 9.9275 Å
α = 90.00°, β = 90.00°, γ = 90.00°
Space group Pnma (No. 62)
Inequivalent atoms, fractional coordinates:
Na1 0.1444 0.2500 0.0875
Ag1 0.1610 0.2500 0.7895
Mo1 0.0439 0.2500 0.4136

Calculated values
DFT formation energy: 10.47 kcal/mol of atoms

Entry 2:
The following is a PBE calculation of an optimized crystal structure of La4Pt3Au, from Alexandria via LeMat-Bulk.

a = 3.9856 Å, b = 4.6651 Å, c = 11.2186 Å
α = 90.00°, β = 90.00°, γ = 90.00°
Space group Pmm2 (No. 25)
Inequivalent atoms, fractional coordinates:
La1 0.0000 0.0000 0.0000
La2 0.0000 0.5000 0.2634
La3 0.5000 0.0000 0.4848
La4 0.5000 0.5000 0.7641
Pt1 0.0000 0.5000 0.5362
Pt2 0.5000 0.0000 0.2195
Pt3 0.5000 0.5000 0.0333
Au1 0.0000 0.0000 0.7151

Calculated values
DFT formation energy: -25.46 kcal/mol of atoms

Entry 3:
The following is a PBE calculation of an optimized crystal structure of YHoIrPd, from Alexandria via LeMat-Bulk.

a = 6.9199 Å, b = 6.9199 Å, c = 6.9199 Å
α = 90.00°, β = 90.00°, γ = 90.00°
Space group F-43m (No. 216)
Inequivalent atoms, fractional coordinates:
Y1 0.0000 0.0000 0.0000
Ho1 0.0000 0.0000 0.5000
Ir1 0.2500 0.2500 0.7500
Pd1 0.2500 0.2500 0.2500

Calculated values
DFT formation energy: -20.81 kcal/mol of atoms

Entry 4:
The following is a PBE calculation of an optimized crystal structure of Rb5Sn2Se5, from Alexandria via LeMat-Bulk.

a = 15.1575 Å, b = 4.9321 Å, c = 12.8306 Å
α = 90.00°, β = 107.73°, γ = 90.00°
Space group C2/m (No. 12)
Inequivalent atoms, fractional coordinates:
Rb1 0.0000 0.0000 0.0000
Rb2 0.1600 0.0000 0.5629
Rb3 0.2427 0.5000 0.1362
Sn1 0.0473 0.5000 0.3002
Se1 0.0000 0.5000 0.5000
Se2 0.1014 0.5000 0.8720
Se3 0.1412 0.0000 0.2859

Calculated values
uncorrected formation energy: -0.901 eV/atom